Record 1
20
Lattice="-2.859 5.993 0.503 -4.768 -0.917 -4.558 -1.919 -2.716 4.434" Properties=species:S:1:pos:R:3 comment="NaGe2IrO6 PBE optimized geometry" rho_g_cm3=6.542 total_magnetization_mub_per_fu=0.00 total_energy_ev_per_cell=-125.2 volume_a3_per_atom=11.6 pbc="T T T"
O -1.877 -0.586 2.810
Ge -3.489 0.145 2.559
Ir -5.080 -0.991 -3.006
O -1.244 -0.410 -0.272
Ge -6.057 2.214 -2.180
Na -3.916 3.223 0.080
O -6.673 0.700 1.985
Na -5.629 -0.864 0.299
O -5.637 3.387 1.696
O -8.301 2.769 0.651
O -5.730 0.935 -3.311
O -3.908 -1.028 -1.317
Ge -6.654 2.165 0.995
Ir -4.465 3.351 3.385
O -7.668 2.946 -2.432
O -2.872 1.660 -1.606
O -3.725 0.686 0.892
O -3.815 1.424 3.689
O -5.820 1.674 -0.513
Ge -2.891 0.194 -0.616

***

Record 2
8
Lattice="4.668 0.000 0.000 0.000 4.668 0.000 0.000 0.000 6.539" Properties=species:S:1:pos:R:3 comment="Na4Ge2IrPd PBE optimized geometry" rho_g_cm3=6.246 total_magnetization_mub_per_fu=0.00 total_energy_ev_per_cell=-28.6 volume_a3_per_atom=17.8 pbc="T T T"
Na 2.334 0.000 4.843
Ge 0.000 2.334 5.073
Ir 0.000 0.000 0.000
Na 0.000 0.000 3.269
Pd 2.334 2.334 3.269
Na 0.000 2.334 1.696
Ge 2.334 0.000 1.466
Na 2.334 2.334 0.000

***

Record 3
5
Lattice="-2.067 2.067 5.384 2.067 -2.067 5.384 2.067 2.067 -5.384" Properties=species:S:1:pos:R:3 comment="NaGe2IrPd PBE optimized geometry" rho_g_cm3=8.427 total_magnetization_mub_per_fu=0.00 total_energy_ev_per_cell=-26.5 volume_a3_per_atom=18.4 pbc="T T T"
Ge 0.000 2.067 3.994
Ge 0.000 2.067 1.390
Na 2.067 0.000 2.692
Ir 0.000 0.000 0.000
Pd 0.000 0.000 5.384